VASP calculation (PBE) on a relaxed structure of CuB3H.

Computed properties:
Magnetization (μB per cell): 0.000
Electronic total energy (eV for the cell shown): -17.95
Relative energy among the computed polymorphs (eV per atom): 0.4551
Symmetry: Pm-3m, No. 221

a = 3.7893 Å, b = 3.7893 Å, c = 3.7893 Å
α = 90.00°, β = 90.00°, γ = 90.00°
Atoms (fractional coordinates):
B 0.0000 0.0000 0.5000
B 0.5000 0.0000 0.0000
H 0.5000 0.5000 0.5000
Cu 0.0000 0.0000 0.0000
B 0.0000 0.5000 0.0000